No. 1
DFT (GGA-PBE) results for KTcAu after structural relaxation.

For the distance to the lowest polymorph of the same formula, the calculation gives 0.137 eV per atom. The calculated formation energy comes out at 0.80 eV per atom. The calculation puts the density of states at the Fermi level at 13.43 states/eV/cell. The value obtained for the mass density is 9.02 g/cm³. The total DFT energy (no corrections) comes out at -4.11 eV per atom.

The space group is Fmm2 (No. 42) and the conventional cell measures 3.962, 3.969 and 15.642 Å, with angles of 90.00, 90.00 and 90.00 degrees. The distinct sites, in fractional coordinates, are K at (0.000, 0.000, 0.000), Tc at (0.000, 0.000, 0.686) and Au at (0.000, 0.000, 0.319).

No. 2
DFT (GGA-PBE) results for PmEr2Ga3 after structural relaxation.

The calculated formation energy comes out at -0.51 eV per atom. The calculation puts the density of states at the Fermi level at 17.12 states/eV/cell. The value obtained for the mass density is 7.69 g/cm³. The total DFT energy (no corrections) comes out at -4.33 eV per atom.

The space group is Cmcm (No. 63) and the conventional cell measures 4.490, 21.107 and 6.276 Å, with angles of 90.00, 90.00 and 90.00 degrees. The distinct sites, in fractional coordinates, are Pm at (0.000, 0.182, 0.250), Er at (0.000, 0.364, 0.250), Er at (0.000, 0.468, 0.750), Ga at (0.000, 0.062, 0.544) and Ga at (0.000, 0.225, 0.750).

No. 3
DFT (GGA-PBE) results for MgAsPb2 after structural relaxation.

For the distance to the lowest polymorph of the same formula, the calculation gives 0.020 eV per atom. The calculated formation energy comes out at -0.09 eV per atom. The calculation puts the density of states at the Fermi level at 4.12 states/eV/cell. The value obtained for the mass density is 7.82 g/cm³. The total DFT energy (no corrections) comes out at -3.50 eV per atom.

The space group is Immm (No. 71) and the conventional cell measures 3.836, 4.019 and 14.148 Å, with angles of 90.00, 90.00 and 90.00 degrees. The distinct sites, in fractional coordinates, are Mg at (0.000, 0.000, 0.000), As at (0.000, 0.000, 0.500) and Pb at (0.000, 0.500, 0.178).

No. 4
DFT (GGA-PBE) results for Cs2LiSBr after structural relaxation.

Its formation energy (no corrections) is -1.30 eV/atom. The calculation puts the density of states at the Fermi level at 0.00 states/eV/cell. The value obtained for the mass density is 3.05 g/cm³. The total DFT energy (no corrections) comes out at -3.18 eV per atom.

The space group is P4/mmm (No. 123) and the conventional cell measures 6.809, 6.809 and 4.521 Å, with angles of 90.00, 90.00 and 90.00 degrees. The distinct sites, in fractional coordinates, are Cs at (0.000, 0.500, 0.000), Li at (0.000, 0.000, 0.500), S at (0.000, 0.000, 0.000) and Br at (0.500, 0.500, 0.500).

No. 5
DFT (GGA-PBE) results for Mg4Hg2Pd after structural relaxation.

The calculated formation energy comes out at -0.34 eV per atom. The calculation puts the density of states at the Fermi level at 5.90 states/eV/cell. The value obtained for the mass density is 6.87 g/cm³. The total DFT energy (no corrections) comes out at -2.08 eV per atom.

The space group is R-3m (No. 166, hexagonal axes) and the conventional cell measures 4.7024, 4.7024 and 22.8930 Å, with angles of 90.00, 90.00 and 120.00 degrees. The distinct sites, in fractional coordinates, are Mg at (0.0000, 0.0000, 0.1242), Mg at (0.0000, 0.0000, 0.3726), Hg at (0.0000, 0.0000, 0.2482) and Pd at (0.0000, 0.0000, 0.0000).

No. 6
DFT (GGA-PBE) results for KPtSCl2 after structural relaxation.

For the distance to the lowest polymorph of the same formula, the calculation gives 1.609 eV per atom. Its formation energy (no corrections) is 0.93 eV/atom. The calculation puts the density of states at the Fermi level at 9.31 states/eV/cell. The value obtained for the mass density is 3.15 g/cm³. The total DFT energy (no corrections) comes out at -2.06 eV per atom.

The space group is P4/mmm (No. 123) and the conventional cell measures 5.591, 5.591 and 5.690 Å, with angles of 90.00, 90.00 and 90.00 degrees. The distinct sites, in fractional coordinates, are K at (0.000, 0.000, 0.000), Pt at (0.500, 0.500, 0.500), S at (0.000, 0.000, 0.500) and Cl at (0.000, 0.500, 0.000).

No. 7
DFT (GGA-PBE) results for SrTa2Hg after structural relaxation.

The calculated formation energy comes out at 0.91 eV per atom. The calculation puts the density of states at the Fermi level at 6.76 states/eV/cell. The value obtained for the mass density is 11.94 g/cm³. The total DFT energy (no corrections) comes out at -5.52 eV per atom.

The space group is Cmmm (No. 65) and the conventional cell measures 5.954, 10.456 and 2.904 Å, with angles of 90.00, 90.00 and 90.00 degrees. The distinct sites, in fractional coordinates, are Sr at (0.000, 0.000, 0.000), Ta at (0.250, 0.250, 0.500) and Hg at (0.000, 0.500, 0.000).

No. 8
DFT (GGA-PBE) results for KTc2Ni2 after structural relaxation.

For the distance to the lowest polymorph of the same formula, the calculation gives 0.000 eV per atom. The calculated formation energy comes out at 0.55 eV per atom. The calculation puts the density of states at the Fermi level at 11.33 states/eV/cell. The value obtained for the mass density is 7.26 g/cm³. The total DFT energy (no corrections) comes out at -6.12 eV per atom.

The space group is P4/mbm (No. 127) and the conventional cell measures 7.954, 7.954 and 2.547 Å, with angles of 90.00, 90.00 and 90.00 degrees. The distinct sites, in fractional coordinates, are K at (0.000, 0.000, 0.000), Tc at (0.112, 0.388, 0.500) and Ni at (0.173, 0.673, 0.000).